A plane-wave DFT calculation with PBE was carried out for crystalline Ba2La2Ag at its relaxed geometry.

Space-group type   P4/mbm (127)
Fermi-level density of states   15.46 states/eV/cell
Formation enthalpy at 0 K   0.13 eV per atom

```
Ba2La2Ag
1.0
-2.864 -5.764 -4.806
5.181 -5.239 3.197
-4.344 -1.569 4.470
Ag Ba La
2 4 4
Direct
0.500 0.500 0.000
0.000 0.000 0.000
0.823 0.323 0.500
0.677 0.823 0.500
0.177 0.677 0.500
0.323 0.177 0.500
0.861 0.639 0.000
0.139 0.361 0.000
0.361 0.861 0.000
0.639 0.139 0.000
```

***

A plane-wave DFT calculation with PBE was carried out for crystalline Ba2LaAg at its relaxed geometry.

Space-group type   R-3m (166)
Fermi-level density of states   6.50 states/eV/cell
Formation enthalpy at 0 K   0.10 eV per atom

```
Ba2LaAg
1.0
-9.492 -7.042 0.845
-7.813 -8.492 -2.693
-6.445 -9.893 0.996
La Ba Ag
1 2 1
Direct
0.250 0.250 0.250
0.014 0.014 0.014
0.486 0.486 0.486
0.750 0.750 0.750
```